# 1
The following is a PBE-GGA calculation of a geometry-optimized Pm4Bi2Ru structure, from Alexandria.

Cell: 6.8323 6.8468 9.8451 Å, 90.00 110.01 90.00°
Positions (direct):
1 Pm 0.1996 0.2500 0.0741
2 Pm 0.2697 0.0026 0.7401
3 Pm 0.2697 0.4974 0.7401
4 Pm 0.2943 0.7500 0.3832
5 Pm 0.7057 0.2500 0.6168
6 Pm 0.7303 0.5026 0.2599
7 Pm 0.7303 0.9974 0.2599
8 Pm 0.8004 0.7500 0.9259
9 Bi 0.1522 0.2500 0.4364
10 Bi 0.3197 0.7500 0.0457
11 Bi 0.6803 0.2500 0.9543
12 Bi 0.8478 0.7500 0.5636
13 Ru 0.4819 0.2500 0.3303
14 Ru 0.5181 0.7500 0.6697

Values from the calculation:
* energy relative to the lowest polymorph listed for this composition: 0 meV per atom

# 2
The following is a PBE-GGA calculation of a geometry-optimized Pm5BiRu2 structure, from Alexandria.

Cell: 8.9943 8.9943 8.9943 Å, 127.47 127.47 77.49°
Positions (direct):
1 Pm 0.0000 0.0000 0.0000
2 Pm 0.0252 0.5252 0.8129
3 Pm 0.2123 0.0252 0.5000
4 Pm 0.2877 0.7877 0.8129
5 Pm 0.4748 0.2877 0.5000
6 Pm 0.5000 0.5000 0.0000
7 Pm 0.5252 0.7123 0.5000
8 Pm 0.7123 0.2123 0.1871
9 Pm 0.7877 0.9748 0.5000
10 Pm 0.9748 0.4748 0.1871
11 Bi 0.2500 0.2500 0.0000
12 Bi 0.7500 0.7500 0.0000
13 Ru 0.1435 0.3565 0.5000
14 Ru 0.3565 0.8565 0.2130
15 Ru 0.6435 0.1435 0.7870
16 Ru 0.8565 0.6435 0.5000

# 3
The following is a PBE-GGA calculation of a geometry-optimized Pm2BiRu structure, from Alexandria.

Cell: 5.0210 5.0210 4.0673 Å, 90.00 90.00 90.00°
Positions (direct):
1 Pm 0.0000 0.5000 0.0000
2 Pm 0.5000 0.0000 0.0000
3 Bi 0.0000 0.0000 0.5000
4 Ru 0.5000 0.5000 0.5000

Values from the calculation:
* energy relative to the lowest polymorph listed for this composition: 72 meV per atom

# 4
The following is a PBE-GGA calculation of a geometry-optimized Pm4Bi2Ru structure, from Alexandria.

Cell: 5.2011 5.2011 16.9588 Å, 90.00 90.00 90.00°
Positions (direct):
1 Pm 0.0000 0.0000 0.1707
2 Pm 0.0000 0.0000 0.8293
3 Pm 0.0000 0.5000 0.0000
4 Pm 0.0000 0.5000 0.5000
5 Pm 0.5000 0.0000 0.0000
6 Pm 0.5000 0.0000 0.5000
7 Pm 0.5000 0.5000 0.3293
8 Pm 0.5000 0.5000 0.6707
9 Bi 0.0000 0.0000 0.3605
10 Bi 0.0000 0.0000 0.6395
11 Bi 0.5000 0.5000 0.1395
12 Bi 0.5000 0.5000 0.8605
13 Ru 0.0000 0.0000 0.0000
14 Ru 0.5000 0.5000 0.5000

Values from the calculation:
* energy relative to the lowest polymorph listed for this composition: 31 meV per atom

# 5
The following is a PBE-GGA calculation of a geometry-optimized Pm2BiRu structure, from Alexandria.

Cell: 6.4651 6.4274 11.2143 Å, 90.00 103.76 90.00°
Positions (direct):
1 Pm 0.1708 0.1330 0.1207
2 Pm 0.1708 0.8670 0.6207
3 Pm 0.2693 0.3431 0.8355
4 Pm 0.2693 0.6569 0.3355
5 Pm 0.7307 0.3431 0.6645
6 Pm 0.7307 0.6569 0.1645
7 Pm 0.8292 0.1330 0.3793
8 Pm 0.8292 0.8670 0.8793
9 Bi 0.3414 0.1746 0.4138
10 Bi 0.3414 0.8254 0.9138
11 Bi 0.6586 0.1746 0.0862
12 Bi 0.6586 0.8254 0.5862
13 Ru 0.1080 0.3577 0.5637
14 Ru 0.1080 0.6423 0.0637
15 Ru 0.8920 0.3577 0.9363
16 Ru 0.8920 0.6423 0.4363

Values from the calculation:
* energy relative to the lowest polymorph listed for this composition: 0 meV per atom

# 6
The following is a PBE-GGA calculation of a geometry-optimized PmBi2Ru structure, from Alexandria.

Cell: 4.5327 4.5327 17.3352 Å, 90.00 90.00 120.00°
Positions (direct):
1 Pm 0.0000 0.0000 0.0000
2 Pm 0.3333 0.6667 0.6667
3 Pm 0.6667 0.3333 0.3333
4 Bi 0.0000 0.0000 0.2295
5 Bi 0.0000 0.0000 0.7705
6 Bi 0.3333 0.6667 0.4372
7 Bi 0.3333 0.6667 0.8962
8 Bi 0.6667 0.3333 0.1038
9 Bi 0.6667 0.3333 0.5628
10 Ru 0.0000 0.0000 0.5000
11 Ru 0.3333 0.6667 0.1667
12 Ru 0.6667 0.3333 0.8333

Values from the calculation:
* energy relative to the lowest polymorph listed for this composition: 0 meV per atom

# 7
The following is a PBE-GGA calculation of a geometry-optimized Pm7Bi2Ru2 structure, from Alexandria.

Cell: 6.9828 6.9828 7.4387 Å, 90.00 90.00 101.75°
Positions (direct):
1 Pm 0.0000 0.0000 0.0000
2 Pm 0.0000 0.5000 0.2396
3 Pm 0.0000 0.5000 0.7604
4 Pm 0.5000 0.0000 0.2396
5 Pm 0.5000 0.0000 0.7604
6 Pm 0.5000 0.5000 0.2254
7 Pm 0.5000 0.5000 0.7746
8 Bi 0.2031 0.2031 0.5000
9 Bi 0.7969 0.7969 0.5000
10 Ru 0.2777 0.7223 0.0000
11 Ru 0.7223 0.2777 0.0000

# 8
The following is a PBE-GGA calculation of a geometry-optimized Pm2BiRu structure, from Alexandria.

Cell: 3.9470 3.9470 25.6469 Å, 90.00 90.00 120.00°
Positions (direct):
1 Pm 0.0000 0.0000 0.2319
2 Pm 0.0000 0.0000 0.7681
3 Pm 0.3333 0.6667 0.4347
4 Pm 0.3333 0.6667 0.8986
5 Pm 0.6667 0.3333 0.1014
6 Pm 0.6667 0.3333 0.5653
7 Bi 0.0000 0.0000 0.0000
8 Bi 0.3333 0.6667 0.6667
9 Bi 0.6667 0.3333 0.3333
10 Ru 0.0000 0.0000 0.5000
11 Ru 0.3333 0.6667 0.1667
12 Ru 0.6667 0.3333 0.8333

Values from the calculation:
* energy relative to the lowest polymorph listed for this composition: 113 meV per atom

no.,DFT formation energy (eV/atom)
1,-0.49
2,-0.42
3,-0.29
4,-0.46
5,-0.36
6,-0.17
7,-0.32
8,-0.25